(1)
The following is a PBE-GGA calculation of crystalline YSbTe2Pt at its relaxed geometry, from Alexandria.

Energy above the most stable polymorph in this dataset (eV per atom): 0.0000
Fermi-level density of states (states/eV per cell): 3.063
Formation energy from raw total energies (eV/atom): -0.16
Total magnetic moment (μB/f.u.): 0.00
E_tot (eV for the cell shown): -23.69

Cell and atoms, written as CIF:
```
data_YSbTe2Pt
_chemical_formula_sum 'Y1 Sb1 Te2 Pt1'
_space_group_name_H-M_alt 'P 4/m m m'
_space_group_IT_number 123
_space_group_name_Hall '-P 4 2'
_cell_length_a 5.4177
_cell_length_b 5.4177
_cell_length_c 5.1109
_cell_angle_alpha 90.00
_cell_angle_beta 90.00
_cell_angle_gamma 90.00
loop_
_atom_site_label
_atom_site_fract_x
_atom_site_fract_y
_atom_site_fract_z
Y1 0.0000 0.0000 0.0000
Sb1 0.5000 0.5000 0.0000
Te1 0.0000 0.5000 0.5000
Pt1 0.5000 0.5000 0.5000
```

=====

(2)
The following is a PBE-GGA calculation of crystalline AcMg2Zn2Ge2 at its relaxed geometry, from Alexandria.

Calculated formation energy (eV per atom): -0.3027
Fermi-level density of states (states/eV per cell): 7.775
Total magnetic moment (μB/f.u.): 0.00
E_tot (eV for the cell shown): -63.60

Cell and atoms, written as CIF:
```
data_AcMg2Zn2Ge2
_chemical_formula_sum 'Ac3 Mg6 Zn6 Ge6'
_space_group_name_H-M_alt 'R -3 m'
_space_group_IT_number 166
_space_group_name_Hall '-R 3 2"'
_cell_length_a 4.5849
_cell_length_b 4.5849
_cell_length_c 24.6909
_cell_angle_alpha 90.00
_cell_angle_beta 90.00
_cell_angle_gamma 120.00
loop_
_atom_site_label
_atom_site_fract_x
_atom_site_fract_y
_atom_site_fract_z
Ac1 0.0000 0.0000 0.0000
Mg1 0.0000 0.0000 0.1395
Zn1 0.0000 0.0000 0.4421
Ge1 0.0000 0.0000 0.2524
```

=====

(3)
The following is a PBE-GGA calculation of crystalline RbCaCeI6 at its relaxed geometry, from Alexandria.

Fermi-level density of states (states/eV per cell): 16.764
Formation energy from raw total energies (eV/atom): -1.48
Total magnetic moment (μB/f.u.): 1.00
E_tot (eV for the cell shown): -63.06

Cell and atoms, written as CIF:
```
data_RbCaCeI6
_chemical_formula_sum 'Rb2 Ca2 Ce2 I12'
_space_group_name_H-M_alt 'P -3 1 c'
_space_group_IT_number 163
_space_group_name_Hall '-P 3 2c'
_cell_length_a 8.1543
_cell_length_b 8.1543
_cell_length_c 16.1765
_cell_angle_alpha 90.00
_cell_angle_beta 90.00
_cell_angle_gamma 120.00
loop_
_atom_site_label
_atom_site_fract_x
_atom_site_fract_y
_atom_site_fract_z
Rb1 0.0000 0.0000 0.0000
Ca1 0.3333 0.6667 0.2500
Ce1 0.3333 0.6667 0.7500
I1 0.0003 0.3714 0.1371
```

=====

(4)
The following is a PBE-GGA calculation of crystalline Y5ScPb4 at its relaxed geometry, from Alexandria.

Calculated formation energy (eV per atom): -0.2275
Fermi-level density of states (states/eV per cell): 20.424
Total magnetic moment (μB/f.u.): 0.00
E_tot (eV for the cell shown): -111.52

Cell and atoms, written as CIF:
```
data_Y5ScPb4
_chemical_formula_sum 'Y10 Sc2 Pb8'
_space_group_name_H-M_alt 'C 1 2/m 1'
_space_group_IT_number 12
_space_group_name_Hall '-C 2y'
_cell_length_a 17.5254
_cell_length_b 3.6588
_cell_length_c 9.5204
_cell_angle_alpha 90.00
_cell_angle_beta 90.76
_cell_angle_gamma 90.00
loop_
_atom_site_label
_atom_site_fract_x
_atom_site_fract_y
_atom_site_fract_z
Y1 0.0000 0.0000 0.0000
Y2 0.1537 0.5000 0.2644
Y3 0.1896 0.5000 0.8893
Sc1 0.0000 0.0000 0.5000
Pb1 0.0263 0.5000 0.7396
Pb2 0.1787 0.0000 0.5714
```

=====

(5)
The following is a PBE-GGA calculation of crystalline TlCoP2S8 at its relaxed geometry, from Alexandria.

Fermi-level density of states (states/eV per cell): 9.514
Formation energy from raw total energies (eV/atom): -0.10
Total magnetic moment (μB/f.u.): 1.71
E_tot (eV for the cell shown): -54.46

Cell and atoms, written as CIF:
```
data_TlCoP2S8
_chemical_formula_sum 'Tl1 Co1 P2 S8'
_space_group_name_H-M_alt 'P -3'
_space_group_IT_number 147
_space_group_name_Hall '-P 3'
_cell_length_a 5.6820
_cell_length_b 5.6820
_cell_length_c 9.6228
_cell_angle_alpha 90.00
_cell_angle_beta 90.00
_cell_angle_gamma 120.00
loop_
_atom_site_label
_atom_site_fract_x
_atom_site_fract_y
_atom_site_fract_z
Tl1 0.0000 0.0000 0.0000
Co1 0.0000 0.0000 0.5000
P1 0.3333 0.6667 0.7021
S1 0.0198 0.6899 0.3592
S2 0.3333 0.6667 0.9099
```

=====

(6)
The following is a PBE-GGA calculation of crystalline TbDy3Ga3 at its relaxed geometry, from Alexandria.

Calculated formation energy (eV per atom): -0.4277
Fermi-level density of states (states/eV per cell): 9.220
Total magnetic moment (μB/f.u.): 0.00
E_tot (eV for the cell shown): -61.02

Cell and atoms, written as CIF:
```
data_TbDy3Ga3
_chemical_formula_sum 'Tb2 Dy6 Ga6'
_space_group_name_H-M_alt 'P 63/m'
_space_group_IT_number 176
_space_group_name_Hall '-P 6c'
_cell_length_a 9.1372
_cell_length_b 9.1372
_cell_length_c 4.7906
_cell_angle_alpha 90.00
_cell_angle_beta 90.00
_cell_angle_gamma 120.00
loop_
_atom_site_label
_atom_site_fract_x
_atom_site_fract_y
_atom_site_fract_z
Tb1 0.3333 0.6667 0.2500
Dy1 0.0153 0.7606 0.7500
Ga1 0.0584 0.4502 0.7500
```

=====

(7)
The following is a PBE-GGA calculation of crystalline Tb3Nd2Sm6Pu at its relaxed geometry, from Alexandria.

Calculated formation energy (eV per atom): 0.0517
Fermi-level density of states (states/eV per cell): 50.948
Total magnetic moment (μB/f.u.): 6.49
E_tot (eV for the cell shown): -130.91

Cell and atoms, written as CIF:
```
data_Tb3Nd2Sm6Pu
_chemical_formula_sum 'Tb6 Nd4 Sm12 Pu2'
_space_group_name_H-M_alt 'C 1 2/m 1'
_space_group_IT_number 12
_space_group_name_Hall '-C 2y'
_cell_length_a 6.2457
_cell_length_b 10.8321
_cell_length_c 11.9166
_cell_angle_alpha 90.00
_cell_angle_beta 100.17
_cell_angle_gamma 90.00
loop_
_atom_site_label
_atom_site_fract_x
_atom_site_fract_y
_atom_site_fract_z
Tb1 0.0000 0.0000 0.0000
Tb2 0.0000 0.3335 0.0000
Nd1 0.0000 0.1666 0.5000
Sm1 0.2461 0.5000 0.2494
Sm2 0.2481 0.3353 0.7506
Pu1 0.0000 0.5000 0.5000
```

=====

(8)
The following is a PBE-GGA calculation of crystalline SrGaCo2 at its relaxed geometry, from Alexandria.

Calculated formation energy (eV per atom): 0.1856
Fermi-level density of states (states/eV per cell): 14.933
Total magnetic moment (μB/f.u.): 2.03
E_tot (eV for the cell shown): -72.71

Cell and atoms, written as CIF:
```
data_SrGaCo2
_chemical_formula_sum 'Sr4 Ga4 Co8'
_space_group_name_H-M_alt 'I 41/a m d'
_space_group_IT_number 141
_cell_length_a 4.6097
_cell_length_b 4.6097
_cell_length_c 16.6198
_cell_angle_alpha 90.00
_cell_angle_beta 90.00
_cell_angle_gamma 90.00
loop_
_space_group_symop_operation_xyz
'x,y,z'
'-x,-y,-z'
'-y+1/4,x+3/4,z+1/4'
'y+1/4,-x+3/4,-z+1/4'
'-x+1/2,-y,z+1/2'
'x+1/2,y,-z+1/2'
'y+1/4,-x+1/4,z+3/4'
'-y+1/4,x+1/4,-z+3/4'
'x,-y,-z'
'-x,y,z'
'-y+1/4,-x+1/4,-z+3/4'
'y+1/4,x+1/4,z+3/4'
'-x+1/2,y,-z+1/2'
'x+1/2,-y,z+1/2'
'y+1/4,x+3/4,-z+1/4'
'-y+1/4,-x+3/4,z+1/4'
'x+1/2,y+1/2,z+1/2'
'-x+1/2,-y+1/2,-z+1/2'
'-y+3/4,x+1/4,z+3/4'
'y+3/4,-x+1/4,-z+3/4'
'-x,-y+1/2,z'
'x,y+1/2,-z'
'y+3/4,-x+3/4,z+1/4'
'-y+3/4,x+3/4,-z+1/4'
'x+1/2,-y+1/2,-z+1/2'
'-x+1/2,y+1/2,z+1/2'
'-y+3/4,-x+3/4,-z+1/4'
'y+3/4,x+3/4,z+1/4'
'-x,y+1/2,-z'
'x,-y+1/2,z'
'y+3/4,x+1/4,-z+3/4'
'-y+3/4,-x+1/4,z+3/4'
loop_
_atom_site_label
_atom_site_fract_x
_atom_site_fract_y
_atom_site_fract_z
Sr1 0.0000 0.2500 0.3750
Ga1 0.0000 0.2500 0.8750
Co1 0.0000 0.0000 0.0000
```

=====

Record-wise V values, in Å³ per atom: 30.00, 21.40, 51.75, 30.52, 22.42, 24.74, 33.06, 22.07